The following is a PBE calculation of crystalline K2HoPtO4 at its relaxed geometry, from Alexandria via LeMat-Bulk.

Results
Its uncorrected energy is -5.795 eV/atom. As for the symmetry: P2/m. As for the formation energy from raw total energies: -1.714 eV/atom.

Cell lengths 5.9799, 3.3227, 6.6660 Å; angles 90.00, 110.85, 90.00 degrees
Positions (direct):
K: 0.0000 0.0000 0.0000
K: 0.5000 0.5000 0.0000
Ho: 0.0000 0.5000 0.5000
Pt: 0.5000 0.0000 0.5000
O: 0.2010 0.0000 0.7148
O: 0.2947 0.5000 0.3368
O: 0.7053 0.5000 0.6632
O: 0.7990 0.0000 0.2852

***

The following is a PBE calculation of crystalline KHoPtO3 at its relaxed geometry, from Alexandria via LeMat-Bulk.

Results
Its uncorrected energy is -6.212 eV/atom. As for the symmetry: P2_1/m. As for the formation energy from raw total energies: -1.780 eV/atom.

Cell lengths 6.6789, 3.3444, 10.1831 Å; angles 90.00, 105.82, 90.00 degrees
Positions (direct):
K: 0.2374 0.2500 0.2363
K: 0.7626 0.7500 0.7637
Ho: 0.1751 0.7500 0.6240
Ho: 0.8249 0.2500 0.3760
Pt: 0.4039 0.2500 0.9105
Pt: 0.5961 0.7500 0.0895
O: 0.0591 0.7500 0.3980
O: 0.2093 0.7500 0.8582
O: 0.4101 0.2500 0.6995
O: 0.5899 0.7500 0.3005
O: 0.7907 0.2500 0.1418
O: 0.9409 0.2500 0.6020

***

The following is a PBE calculation of crystalline KHo4Pt3O12 at its relaxed geometry, from Alexandria via LeMat-Bulk.

Results
Its uncorrected energy is -6.876 eV/atom. As for the symmetry: Im-3. As for the formation energy from raw total energies: -2.025 eV/atom.

Cell lengths 7.1525, 7.1525, 7.1525 Å; angles 109.47, 109.47, 109.47 degrees
Positions (direct):
K: 0.0000 0.0000 0.0000
Ho: 0.0000 0.0000 0.5000
Ho: 0.0000 0.5000 0.0000
Ho: 0.5000 0.0000 0.0000
Ho: 0.5000 0.5000 0.5000
Pt: 0.0000 0.5000 0.5000
Pt: 0.5000 0.0000 0.5000
Pt: 0.5000 0.5000 0.0000
O: 0.1612 0.8361 0.3251
O: 0.1639 0.3251 0.4890
O: 0.1639 0.6749 0.8388
O: 0.3251 0.1612 0.8361
O: 0.3251 0.4890 0.1639
O: 0.4890 0.1639 0.3251
O: 0.5110 0.8361 0.6749
O: 0.6749 0.5110 0.8361
O: 0.6749 0.8388 0.1639
O: 0.8361 0.3251 0.1612
O: 0.8361 0.6749 0.5110
O: 0.8388 0.1639 0.6749

***

The following is a PBE calculation of crystalline K4HoPu3O12 at its relaxed geometry, from Alexandria via LeMat-Bulk.

Results
Its uncorrected energy is -8.163 eV/atom. As for the symmetry: Im-3m. As for the formation energy from raw total energies: -2.590 eV/atom.

Cell lengths 7.4070, 7.4070, 7.4070 Å; angles 109.47, 109.47, 109.47 degrees
Positions (direct):
K: 0.0000 0.0000 0.5000
K: 0.0000 0.5000 0.0000
K: 0.5000 0.0000 0.0000
K: 0.5000 0.5000 0.5000
Ho: 0.0000 0.0000 0.0000
Pu: 0.0000 0.5000 0.5000
Pu: 0.5000 0.0000 0.5000
Pu: 0.5000 0.5000 0.0000
O: 0.0000 0.2646 0.2646
O: 0.0000 0.7354 0.7354
O: 0.2500 0.5000 0.7500
O: 0.2500 0.7500 0.5000
O: 0.2646 0.0000 0.2646
O: 0.2646 0.2646 0.0000
O: 0.5000 0.2500 0.7500
O: 0.5000 0.7500 0.2500
O: 0.7354 0.0000 0.7354
O: 0.7354 0.7354 0.0000
O: 0.7500 0.2500 0.5000
O: 0.7500 0.5000 0.2500

***

The following is a PBE calculation of crystalline KHo2PuO8 at its relaxed geometry, from Alexandria via LeMat-Bulk.

Results
Its uncorrected energy is -7.874 eV/atom. As for the symmetry: P-1. As for the formation energy from raw total energies: -2.519 eV/atom.

Cell lengths 4.3912, 5.2243, 7.8131 Å; angles 91.65, 93.21, 92.75 degrees
Positions (direct):
K: 0.0000 0.0000 0.0000
Ho: 0.4329 0.4748 0.7222
Ho: 0.5671 0.5252 0.2778
Pu: 0.0000 0.0000 0.5000
O: 0.0832 0.7102 0.3123
O: 0.1775 0.8386 0.7004
O: 0.3631 0.2463 0.4743
O: 0.4532 0.3582 0.0017
O: 0.5468 0.6418 0.9983
O: 0.6369 0.7537 0.5257
O: 0.8225 0.1614 0.2996
O: 0.9168 0.2898 0.6877

***

The following is a PBE calculation of crystalline K2HoPuO4 at its relaxed geometry, from Alexandria via LeMat-Bulk.

Results
Its uncorrected energy is -7.679 eV/atom. As for the symmetry: P2/m. As for the formation energy from raw total energies: -2.562 eV/atom.

Cell lengths 6.1116, 3.5246, 6.5830 Å; angles 90.00, 108.03, 90.00 degrees
Positions (direct):
K: 0.0000 0.0000 0.0000
K: 0.5000 0.5000 0.0000
Ho: 0.0000 0.5000 0.5000
Pu: 0.5000 0.0000 0.5000
O: 0.2219 0.0000 0.6863
O: 0.2661 0.5000 0.3141
O: 0.7339 0.5000 0.6859
O: 0.7781 0.0000 0.3137

***

The following is a PBE calculation of crystalline K3Ho2PuO6 at its relaxed geometry, from Alexandria via LeMat-Bulk.

Results
Its uncorrected energy is -7.335 eV/atom. As for the symmetry: C2/m. As for the formation energy from raw total energies: -2.624 eV/atom.

Cell lengths 6.0778, 6.0778, 6.5793 Å; angles 98.86, 98.86, 120.00 degrees
Positions (direct):
K: 0.0000 0.0000 0.0000
K: 0.3324 0.6676 0.0000
K: 0.6676 0.3324 0.0000
Ho: 0.1666 0.8334 0.5000
Ho: 0.8334 0.1666 0.5000
Pu: 0.5000 0.5000 0.5000
O: 0.0974 0.4380 0.3142
O: 0.2213 0.2213 0.6859
O: 0.4380 0.0974 0.3142
O: 0.5620 0.9026 0.6858
O: 0.7787 0.7787 0.3141
O: 0.9026 0.5620 0.6858

***

The following is a PBE calculation of crystalline K4Ho3PuO8 at its relaxed geometry, from Alexandria via LeMat-Bulk.

Results
Its uncorrected energy is -7.172 eV/atom. As for the symmetry: R-3m. As for the formation energy from raw total energies: -2.664 eV/atom.

Cell lengths 7.4488, 7.4488, 7.4488 Å; angles 55.99, 55.99, 55.99 degrees
Positions (direct):
K: 0.0000 0.0000 0.0000
K: 0.0000 0.5000 0.5000
K: 0.5000 0.0000 0.5000
K: 0.5000 0.5000 0.0000
Ho: 0.0000 0.0000 0.5000
Ho: 0.0000 0.5000 0.0000
Ho: 0.5000 0.0000 0.0000
Pu: 0.5000 0.5000 0.5000
O: 0.2225 0.7317 0.7317
O: 0.2282 0.2282 0.2282
O: 0.2683 0.2683 0.7775
O: 0.2683 0.7775 0.2683
O: 0.7317 0.2225 0.7317
O: 0.7317 0.7317 0.2225
O: 0.7718 0.7718 0.7718
O: 0.7775 0.2683 0.2683

***

The following is a PBE calculation of crystalline K3Ho3PuO8 at its relaxed geometry, from Alexandria via LeMat-Bulk.

Results
Its uncorrected energy is -7.562 eV/atom. As for the symmetry: R-3m. As for the formation energy from raw total energies: -2.827 eV/atom.

Cell lengths 7.4887, 7.4887, 7.4887 Å; angles 55.09, 55.09, 55.09 degrees
Positions (direct):
K: 0.0000 0.5000 0.5000
K: 0.5000 0.0000 0.5000
K: 0.5000 0.5000 0.0000
Ho: 0.0000 0.0000 0.5000
Ho: 0.0000 0.5000 0.0000
Ho: 0.5000 0.0000 0.0000
Pu: 0.5000 0.5000 0.5000
O: 0.2265 0.2265 0.2265
O: 0.2341 0.7204 0.7204
O: 0.2796 0.2796 0.7659
O: 0.2796 0.7659 0.2796
O: 0.7204 0.2341 0.7204
O: 0.7204 0.7204 0.2341
O: 0.7659 0.2796 0.2796
O: 0.7735 0.7735 0.7735